1.
# Ac2TmGe4Ir3 PBE optimized geometry
# Crystal system: tetragonal
# Fermi-level density of states: 5.07 states/eV per cell
# Magnetization: 0.00 μB per cell
# E_form: -731.1 meV/atom
data_Ac2TmGe4Ir3
_chemical_formula_sum 'Ac2 Tm1 Ge4 Ir3'
_symmetry_space_group_name_H-M 'P -4 m 2'
_symmetry_Int_Tables_number 115
_cell_length_a 4.3982
_cell_length_b 4.3982
_cell_length_c 11.0942
_cell_angle_alpha 90.00
_cell_angle_beta 90.00
_cell_angle_gamma 90.00
loop_
_symmetry_equiv_pos_as_xyz
'x,y,z'
'y,-x,-z'
'-x,-y,z'
'-y,x,-z'
'-x,y,z'
'-y,-x,-z'
'x,-y,z'
'y,x,-z'
loop_
_atom_site_label
_atom_site_type_symbol
_atom_site_fract_x
_atom_site_fract_y
_atom_site_fract_z
_atom_site_occupancy
Ac1 Ac 0.0000 0.5000 0.2317 1
Tm1 Tm 0.0000 0.0000 0.5000 1
Ge1 Ge 0.0000 0.0000 0.0000 1
Ge2 Ge 0.0000 0.5000 0.6585 1
Ge3 Ge 0.5000 0.5000 0.0000 1
Ir1 Ir 0.0000 0.5000 0.8860 1
Ir2 Ir 0.5000 0.5000 0.5000 1


2.
# Sm3YPb2 PBE optimized geometry
# Crystal system: orthorhombic
# Distance to the lowest polymorph of the same formula: 0.048 eV per atom
# Fermi-level density of states: 13.59 states/eV per cell
# Magnetization: 0.00 μB per cell
# E_form: -393.9 meV/atom
data_Sm3YPb2
_chemical_formula_sum 'Sm6 Y2 Pb4'
_symmetry_space_group_name_H-M 'C m m m'
_symmetry_Int_Tables_number 65
_symmetry_space_group_name_Hall '-C 2 2'
_cell_length_a 4.9769
_cell_length_b 16.2394
_cell_length_c 4.4807
_cell_angle_alpha 90.00
_cell_angle_beta 90.00
_cell_angle_gamma 90.00
loop_
_atom_site_label
_atom_site_type_symbol
_atom_site_fract_x
_atom_site_fract_y
_atom_site_fract_z
_atom_site_occupancy
Sm1 Sm 0.0000 0.0000 0.0000 1
Sm2 Sm 0.0000 0.3238 0.0000 1
Y1 Y 0.0000 0.5000 0.5000 1
Pb1 Pb 0.0000 0.1497 0.5000 1


3.
# Sr2CuSn3 PBE optimized geometry
# Crystal system: orthorhombic
# Fermi-level density of states: 17.01 states/eV per cell
# Magnetization: 0.00 μB per cell
# E_form: -483.8 meV/atom
data_Sr2CuSn3
_chemical_formula_sum 'Sr16 Cu8 Sn24'
_symmetry_space_group_name_H-M 'F m m m'
_symmetry_Int_Tables_number 69
_symmetry_space_group_name_Hall '-F 2 2'
_cell_length_a 9.3282
_cell_length_b 9.5972
_cell_length_c 16.2049
_cell_angle_alpha 90.00
_cell_angle_beta 90.00
_cell_angle_gamma 90.00
loop_
_atom_site_label
_atom_site_type_symbol
_atom_site_fract_x
_atom_site_fract_y
_atom_site_fract_z
_atom_site_occupancy
Sr1 Sr 0.0000 0.2409 0.0000 1
Sr2 Sr 0.2500 0.2500 0.2500 1
Cu1 Cu 0.0000 0.0000 0.3317 1
Sn1 Sn 0.0000 0.0000 0.1745 1
Sn2 Sn 0.2336 0.0000 0.4125 1


4.
# Si2GeCO PBE optimized geometry
# Crystal system: tetragonal
# Fermi-level density of states: 1.60 states/eV per cell
# Magnetization: 0.00 μB per cell
# Energy: -4.812 eV per atom
data_Si2GeCO
_chemical_formula_sum 'Si2 Ge1 C1 O1'
_symmetry_space_group_name_H-M 'P 4/m m m'
_symmetry_Int_Tables_number 123
_symmetry_space_group_name_Hall '-P 4 2'
_cell_length_a 4.0498
_cell_length_b 4.0498
_cell_length_c 3.9931
_cell_angle_alpha 90.00
_cell_angle_beta 90.00
_cell_angle_gamma 90.00
loop_
_atom_site_label
_atom_site_type_symbol
_atom_site_fract_x
_atom_site_fract_y
_atom_site_fract_z
_atom_site_occupancy
Si1 Si 0.0000 0.5000 0.0000 1
Ge1 Ge 0.0000 0.0000 0.5000 1
C1 C 0.5000 0.5000 0.5000 1
O1 O 0.5000 0.5000 0.0000 1


5.
# SbMoP2 PBE optimized geometry
# Crystal system: monoclinic
# Fermi-level density of states: 5.52 states/eV per cell
# Magnetization: 0.00 μB per cell
# Energy: -6.333 eV per atom
data_SbMoP2
_chemical_formula_sum 'Sb2 Mo2 P4'
_symmetry_space_group_name_H-M 'C 1 2/m 1'
_symmetry_Int_Tables_number 12
_cell_length_a 8.2410
_cell_length_b 3.2790
_cell_length_c 5.4190
_cell_angle_alpha 90.00
_cell_angle_beta 95.37
_cell_angle_gamma 90.00
loop_
_symmetry_equiv_pos_as_xyz
'x,y,z'
'-x,-y,-z'
'-x,y,-z'
'x,-y,z'
'x+1/2,y+1/2,z'
'-x+1/2,-y+1/2,-z'
'-x+1/2,y+1/2,-z'
'x+1/2,-y+1/2,z'
loop_
_atom_site_label
_atom_site_type_symbol
_atom_site_fract_x
_atom_site_fract_y
_atom_site_fract_z
_atom_site_occupancy
Sb1 Sb 0.0000 0.0000 0.0000 1
Mo1 Mo 0.0000 0.5000 0.5000 1
P1 P 0.2196 0.0000 0.6602 1


6.
# Pm3Tm2Ag2 PBE optimized geometry
# Crystal system: monoclinic
# Distance to the lowest polymorph of the same formula: 0.000 eV per atom
# Fermi-level density of states: 14.53 states/eV per cell
# Magnetization: 0.00 μB per cell
# E_form: -111.2 meV/atom
data_Pm3Tm2Ag2
_chemical_formula_sum 'Pm6 Tm4 Ag4'
_symmetry_space_group_name_H-M 'C 1 2/m 1'
_symmetry_Int_Tables_number 12
_cell_length_a 13.0447
_cell_length_b 3.7343
_cell_length_c 9.2195
_cell_angle_alpha 90.00
_cell_angle_beta 115.08
_cell_angle_gamma 90.00
loop_
_symmetry_equiv_pos_as_xyz
'x,y,z'
'-x,-y,-z'
'-x,y,-z'
'x,-y,z'
'x+1/2,y+1/2,z'
'-x+1/2,-y+1/2,-z'
'-x+1/2,y+1/2,-z'
'x+1/2,-y+1/2,z'
loop_
_atom_site_label
_atom_site_type_symbol
_atom_site_fract_x
_atom_site_fract_y
_atom_site_fract_z
_atom_site_occupancy
Pm1 Pm 0.0000 0.0000 0.0000 1
Pm2 Pm 0.1086 0.0000 0.4440 1
Tm1 Tm 0.1475 0.5000 0.8137 1
Ag1 Ag 0.1793 0.5000 0.2197 1


7.
# Ac3ErPd2O9 PBE optimized geometry
# Crystal system: trigonal
# Fermi-level density of states: 6.34 states/eV per cell
# Magnetization: 0.02 μB per cell
# Energy: -7.077 eV per atom
data_Ac3ErPd2O9
_chemical_formula_sum 'Ac3 Er1 Pd2 O9'
_symmetry_space_group_name_H-M 'P -3 m 1'
_symmetry_Int_Tables_number 164
_symmetry_space_group_name_Hall '-P 3 2"'
_cell_length_a 5.8670
_cell_length_b 5.8670
_cell_length_c 7.3360
_cell_angle_alpha 90.00
_cell_angle_beta 90.00
_cell_angle_gamma 120.00
loop_
_atom_site_label
_atom_site_type_symbol
_atom_site_fract_x
_atom_site_fract_y
_atom_site_fract_z
_atom_site_occupancy
Ac1 Ac 0.0000 0.0000 0.0000 1
Ac2 Ac 0.3333 0.6667 0.7113 1
Er1 Er 0.0000 0.0000 0.5000 1
Pd1 Pd 0.3333 0.6667 0.1666 1
O1 O 0.0000 0.5000 0.0000 1
O2 O 0.1643 0.3286 0.3161 1


8.
# LiLaSb2Rh4 PBE optimized geometry
# Crystal system: trigonal
# Fermi-level density of states: 13.45 states/eV per cell
# Magnetization: 0.00 μB per cell
# Energy: -6.233 eV per atom
data_LiLaSb2Rh4
_chemical_formula_sum 'Li3 La3 Sb6 Rh12'
_symmetry_space_group_name_H-M 'R -3 m'
_symmetry_Int_Tables_number 166
_symmetry_space_group_name_Hall '-R 3 2"'
_cell_length_a 4.4096
_cell_length_b 4.4096
_cell_length_c 25.9633
_cell_angle_alpha 90.00
_cell_angle_beta 90.00
_cell_angle_gamma 120.00
loop_
_atom_site_label
_atom_site_type_symbol
_atom_site_fract_x
_atom_site_fract_y
_atom_site_fract_z
_atom_site_occupancy
Li1 Li 0.0000 0.0000 0.0000 1
La1 La 0.0000 0.0000 0.5000 1
Sb1 Sb 0.0000 0.0000 0.2640 1
Rh1 Rh 0.0000 0.0000 0.0961 1
Rh2 Rh 0.0000 0.0000 0.3671 1


The highest magnetization belongs to which entry?
Ac3ErPd2O9